Record 1
This record from Alexandria describes crystalline CeNd5S7 at its relaxed geometry. The functional is GGA-PBE.

Mass density, g cm⁻³: 5.6
Formation energy (no corrections), kJ per mole of atoms: -195.4
Raw total energy, eV/atom: -6.5382

CIF file:
```
data_CeNd5S7
_symmetry_space_group_name_H-M 'C 1 2/m 1'
_symmetry_Int_Tables_number 12
_symmetry_space_group_name_Hall '-C 2y'
_cell_length_a 13.446
_cell_length_b 4.005
_cell_length_c 23.878
_cell_angle_alpha 90.00
_cell_angle_beta 90.04
_cell_angle_gamma 90.00
loop_
_atom_site_label
_atom_site_type_symbol
_atom_site_fract_x
_atom_site_fract_y
_atom_site_fract_z
_atom_site_occupancy
Ce1 Ce 0.209 0.000 0.250 1
Nd1 Nd 0.000 0.000 0.000 1
Nd2 Nd 0.000 0.000 0.500 1
Nd3 Nd 0.045 0.500 0.648 1
Nd4 Nd 0.045 0.500 0.853 1
Nd5 Nd 0.223 0.500 0.429 1
Nd6 Nd 0.224 0.500 0.071 1
S1 S 0.060 0.500 0.250 1
S2 S 0.092 0.000 0.113 1
S3 S 0.092 0.000 0.388 1
S4 S 0.135 0.500 0.539 1
S5 S 0.135 0.500 0.961 1
S6 S 0.187 0.000 0.680 1
S7 S 0.187 0.000 0.820 1
```

---

Record 2
This record from Alexandria describes crystalline CeNdS2 at its relaxed geometry. The functional is GGA-PBE.

Mass density, g cm⁻³: 6.0
Formation energy (no corrections), kJ per mole of atoms: -186.3
ΔE to the lowest computed polymorph, meV/atom: 111
Raw total energy, eV/atom: -6.6696

CIF file:
```
data_CeNdS2
_symmetry_space_group_name_H-M 'R 3 m'
_symmetry_Int_Tables_number 160
_symmetry_space_group_name_Hall 'R 3 -2"'
_cell_length_a 3.9506
_cell_length_b 3.9506
_cell_length_c 21.3051
_cell_angle_alpha 90.00
_cell_angle_beta 90.00
_cell_angle_gamma 120.00
loop_
_atom_site_label
_atom_site_type_symbol
_atom_site_fract_x
_atom_site_fract_y
_atom_site_fract_z
_atom_site_occupancy
Ce1 Ce 0.0000 0.0000 0.0000 1
Nd1 Nd 0.0000 0.0000 0.1760 1
S1 S 0.0000 0.0000 0.5874 1
S2 S 0.0000 0.0000 0.7555 1
```

---

Record 3
This record from Alexandria describes crystalline Ce2Nd2S5 at its relaxed geometry. The functional is GGA-PBE.

Mass density, g cm⁻³: 5.8
Formation energy (no corrections), kJ per mole of atoms: -187.1
Raw total energy, eV/atom: -6.6106

CIF file:
```
data_Ce2Nd2S5
_symmetry_space_group_name_H-M 'C m c e'
_symmetry_Int_Tables_number 64
_symmetry_space_group_name_Hall '-C 2ac 2'
_cell_length_a 14.209
_cell_length_b 7.656
_cell_length_c 7.672
_cell_angle_alpha 90.00
_cell_angle_beta 90.00
_cell_angle_gamma 90.00
loop_
_atom_site_label
_atom_site_type_symbol
_atom_site_fract_x
_atom_site_fract_y
_atom_site_fract_z
_atom_site_occupancy
Ce1 Ce 0.199 0.000 0.000 1
Nd1 Nd 0.000 0.156 0.342 1
S1 S 0.000 0.000 0.000 1
S2 S 0.138 0.159 0.652 1
```